Material: HSBrCl2
Method: DFT, PBE
State: relaxed

Geometry as POSCAR:
```
HSBrCl2
1.0
3.8411 0.0000 0.0000
0.0000 3.8411 0.0000
0.0000 0.0000 8.2143
H S Br Cl
1 1 1 2
Direct
0.0000 0.0000 0.0000
0.0000 0.0000 0.5000
0.5000 0.5000 0.5000
0.0000 0.5000 0.0000
0.5000 0.0000 0.0000
```

The value obtained for the offset from the most stable computed form is 0 meV per atom. As for the space-group type: P4/mmm. The density comes out at 2.52 g/cm3.

Material: Ba7Tl4Br
Method: DFT, PBE
State: relaxed

Geometry as POSCAR:
```
Ba7Tl4Br
1.0
9.1528 -3.1308 0.0000
9.1528 3.1308 0.0000
-2.5047 0.0000 9.4119
Ba Tl Br
7 4 1
Direct
0.0000 0.0000 0.0000
0.1967 0.1967 0.6229
0.3379 0.3379 0.0892
0.4209 0.4209 0.6397
0.5791 0.5791 0.3603
0.6621 0.6621 0.9108
0.8033 0.8033 0.3771
0.0169 0.0169 0.6627
0.1833 0.1833 0.2482
0.8167 0.8167 0.7518
0.9831 0.9831 0.3373
0.5000 0.5000 0.0000
```

As for the space-group type: C2/m. The uncorrected formation energy comes out at -0.518 eV per atom. The density comes out at 5.72 g/cm3.

Material: LaTc2Te
Method: DFT, PBE
State: relaxed

Geometry as POSCAR:
```
LaTc2Te
1.0
5.2457 -1.9249 0.0000
5.2457 1.9249 0.0000
-1.9898 0.0000 4.8048
La Tc Te
1 2 1
Direct
0.0000 0.0000 0.0000
0.2257 0.2257 0.6058
0.7743 0.7743 0.3942
0.5000 0.5000 0.5000
```

The value obtained for the offset from the most stable computed form is 301 meV per atom. As for the space-group type: C2/m. The uncorrected formation energy comes out at 0.050 eV per atom. The density comes out at 7.91 g/cm3.

Material: IrOsBr
Method: DFT, PBE
State: relaxed

Geometry as POSCAR:
```
IrOsBr
1.0
0.0000 3.0468 3.0468
3.0468 0.0000 3.0468
3.0468 3.0468 0.0000
Ir Os Br
1 1 1
Direct
0.0000 0.0000 0.0000
0.7500 0.7500 0.7500
0.5000 0.5000 0.5000
```

The value obtained for the offset from the most stable computed form is 311 meV per atom. As for the space-group type: F-43m. The uncorrected formation energy comes out at 1.210 eV per atom. The density comes out at 13.57 g/cm3.

Material: Sc3Zn17
Method: DFT, PBE
State: relaxed

Geometry as POSCAR:
```
Sc3Zn17
1.0
-6.8852 6.8852 6.8852
6.8852 -6.8852 6.8852
6.8852 6.8852 -6.8852
Sc Zn
12 68
Direct
0.1116 0.8110 0.3005
0.1890 0.3005 0.4895
0.1890 0.6995 0.8884
0.3005 0.1116 0.8110
0.3005 0.4895 0.1890
0.4895 0.1890 0.3005
0.5105 0.8110 0.6995
0.6995 0.5105 0.8110
0.6995 0.8884 0.1890
0.8110 0.3005 0.1116
0.8110 0.6995 0.5105
0.8884 0.1890 0.6995
0.0000 0.0000 0.3166
0.0000 0.0000 0.6834
0.0000 0.3166 0.0000
0.0000 0.4045 0.4045
0.0000 0.5955 0.5955
0.0000 0.6834 0.0000
0.0577 0.4041 0.6536
0.0841 0.5393 0.2237
0.0841 0.8605 0.5448
0.0901 0.3203 0.2301
0.0901 0.8600 0.7699
0.1395 0.2237 0.6843
0.1400 0.2301 0.9099
0.1395 0.4552 0.9159
0.1904 0.6904 0.5000
0.2237 0.0841 0.5393
0.2237 0.6843 0.1395
0.2301 0.0901 0.3203
0.2301 0.9099 0.1400
0.2495 0.5959 0.6536
0.3096 0.5000 0.8096
0.3157 0.5393 0.4552
0.3157 0.8605 0.7763
0.3166 0.0000 0.0000
0.3166 0.3166 0.3166
0.3203 0.2301 0.0901
0.3464 0.7505 0.4041
0.3464 0.9423 0.5959
0.4041 0.3464 0.7505
0.4041 0.6536 0.0577
0.4045 0.0000 0.4045
0.4045 0.4045 0.0000
0.4552 0.3157 0.5393
0.4552 0.9159 0.1395
0.4607 0.5448 0.6843
0.4607 0.7763 0.9159
0.5000 0.1904 0.6904
0.5000 0.8096 0.3096
0.5393 0.2237 0.0841
0.5393 0.4552 0.3157
0.5448 0.0841 0.8605
0.5448 0.6843 0.4607
0.5955 0.0000 0.5955
0.5955 0.5955 0.0000
0.5959 0.3464 0.9423
0.5959 0.6536 0.2495
0.6536 0.0577 0.4041
0.6536 0.2495 0.5959
0.6797 0.7699 0.9099
0.6834 0.0000 0.0000
0.6834 0.6834 0.6834
0.6843 0.1395 0.2237
0.6843 0.4607 0.5448
0.6904 0.5000 0.1904
0.7505 0.4041 0.3464
0.7699 0.0901 0.8600
0.7699 0.9099 0.6797
0.7763 0.3157 0.8605
0.7763 0.9159 0.4607
0.8096 0.3096 0.5000
0.8605 0.5448 0.0841
0.8600 0.7699 0.0901
0.8605 0.7763 0.3157
0.9099 0.1400 0.2301
0.9099 0.6797 0.7699
0.9159 0.1395 0.4552
0.9159 0.4607 0.7763
0.9423 0.5959 0.3464
```

As for the space-group type: Im-3. The density comes out at 6.34 g/cm3. For the energy of formation from the pure elements, the calculation gives -434 kJ/mol of formula units.

Material: Al3NiMo
Method: DFT, PBE
State: relaxed

Geometry as POSCAR:
```
Al3NiMo
1.0
4.7598 0.0000 0.0000
0.0000 4.7598 0.0000
0.0000 0.0000 4.7598
Al Ni Mo
3 1 1
Direct
0.0000 0.0000 0.5000
0.0000 0.5000 0.0000
0.5000 0.0000 0.0000
0.5000 0.5000 0.5000
0.0000 0.0000 0.0000
```

The value obtained for the offset from the most stable computed form is 590 meV per atom. As for the space-group type: Pm-3m. The density comes out at 3.63 g/cm3. For the energy of formation from the pure elements, the calculation gives 469 kJ/mol of formula units.

Material: HfMgV2
Method: DFT, PBE
State: relaxed

Geometry as POSCAR:
```
HfMgV2
1.0
-3.6140 3.6140 2.7518
3.6140 -3.6140 2.7518
3.6140 3.6140 -2.7518
Hf Mg V
2 2 4
Direct
0.0000 0.0000 0.0000
0.7500 0.2500 0.5000
0.2500 0.7500 0.5000
0.5000 0.5000 0.0000
0.1329 0.1250 0.5079
0.3750 0.8671 0.9921
0.6171 0.6250 0.4921
0.8750 0.3829 0.0079
```

As for the space-group type: I-42d. The density comes out at 7.04 g/cm3. For the energy of formation from the pure elements, the calculation gives 322 kJ/mol of formula units.

Material: CsCoNi2
Method: DFT, PBE
State: relaxed

Geometry as POSCAR:
```
CsCoNi2
1.0
0.0000 3.2441 3.2441
3.2441 0.0000 3.2441
3.2441 3.2441 0.0000
Cs Co Ni
1 1 2
Direct
0.0000 0.0000 0.0000
0.5000 0.5000 0.5000
0.2500 0.2500 0.2500
0.7500 0.7500 0.7500
```

The value obtained for the offset from the most stable computed form is 581 meV per atom. As for the space-group type: Fm-3m. The density comes out at 7.52 g/cm3. For the energy of formation from the pure elements, the calculation gives 564 kJ/mol of formula units.